# 1
In2Os: relaxed, PBE-GGA.

The space group is Fd-3m (No. 227, origin choice 2) and the conventional cell measures 7.7886, 7.7886 and 7.7886 Å, with angles of 90.00, 90.00 and 90.00 degrees. The distinct sites, in fractional coordinates, are In at (0.0000, 0.0000, 0.0000) and Os at (0.1250, 0.1250, 0.6250).

The raw total energy is -0.306 Ry per atom. The total moment is 0.17 μB/atom.

---

# 2
InOs: relaxed, PBE-GGA.

The space group is F-43m (No. 216) and the conventional cell measures 6.0813, 6.0813 and 6.0813 Å, with angles of 90.00, 90.00 and 90.00 degrees. The distinct sites, in fractional coordinates, are In at (0.0000, 0.0000, 0.0000) and Os at (0.2500, 0.2500, 0.7500).

The raw total energy is -0.362 Ry per atom. The total moment is 0.59 μB/atom.

---

# 3
InOs: relaxed, PBE-GGA.

The space group is Fm-3m (No. 225) and the conventional cell measures 5.4448, 5.4448 and 5.4448 Å, with angles of 90.00, 90.00 and 90.00 degrees. The distinct sites, in fractional coordinates, are In at (0.0000, 0.0000, 0.0000) and Os at (0.0000, 0.0000, 0.5000).

The raw total energy is -0.412 Ry per atom. The total moment is 0.60 μB/atom.